This record from Alexandria via LeMat-Bulk describes a relaxed Rb3HfMg2Se6 crystal. The functional is GGA-PBE.

Summary:
Energy relative to the elements, uncorrected   -1.167 eV/atom
Magnetization   0.00 Bohr magnetons per cell

```
Rb3HfMg2Se6
1.0
6.982 -0.001 0.002
-3.490 6.047 0.002
-1.162 -2.012 8.010
Rb Hf Mg Se
3 1 2 6
Direct
0.170 0.830 0.500
0.830 0.170 0.500
0.500 0.500 0.500
0.000 0.000 0.000
0.334 0.666 0.000
0.666 0.334 0.000
0.938 0.614 0.814
0.739 0.739 0.188
0.062 0.386 0.186
0.614 0.938 0.814
0.261 0.261 0.812
0.386 0.062 0.186
```

***

This record from Alexandria via LeMat-Bulk describes a relaxed Tl2CrNiGe crystal. The functional is GGA-PBE.

Summary:
Magnetization   4.82 Bohr magnetons per cell
Formation enthalpy at 0 K   79 kJ per mole of atoms

```
Tl2CrNiGe
1.0
5.475 0.000 0.000
0.000 4.412 0.000
0.000 0.000 5.475
Ni Tl Ge Cr
1 2 1 1
Direct
0.000 0.500 0.000
0.000 0.000 0.500
0.500 0.000 0.000
0.000 0.000 0.000
0.500 0.500 0.500
```

***

This record from Alexandria via LeMat-Bulk describes a relaxed ZnCuCl2 crystal. The functional is GGA-PBE.

Summary:
Energy relative to the elements, uncorrected   -0.220 eV/atom
Magnetization   0.00 Bohr magnetons per cell

```
ZnCuCl2
1.0
3.874 -0.038 0.000
-2.256 3.149 0.000
0.000 0.000 7.406
Zn Cu Cl
1 1 2
Direct
0.500 0.500 0.750
0.500 0.500 0.250
0.000 0.000 0.033
0.000 0.000 0.467
```

***

This record from Alexandria via LeMat-Bulk describes a relaxed Cd3Si crystal. The functional is GGA-PBE.

Summary:
Energy relative to the elements, uncorrected   0.236 eV/atom
Magnetization   0.00 Bohr magnetons per cell

```
Cd3Si
1.0
6.841 0.058 0.022
4.322 5.303 -0.022
-4.946 -4.004 2.512
Cd Si
3 1
Direct
0.290 0.290 0.000
0.710 0.710 0.000
0.000 0.500 0.500
0.500 0.000 0.500
```

***

This record from Alexandria via LeMat-Bulk describes a relaxed Sc4Bi2C crystal. The functional is GGA-PBE.

Summary:
Magnetization   0.00 Bohr magnetons per cell
Formation enthalpy at 0 K   -46 kJ per mole of atoms

```
Sc4Bi2C
1.0
6.268 0.000 -0.271
0.000 6.362 0.000
-2.617 0.000 8.288
Sc Bi C
8 4 2
Direct
0.531 0.502 0.291
0.160 0.750 0.957
0.840 0.250 0.043
0.531 0.998 0.291
0.909 0.250 0.655
0.469 0.002 0.709
0.469 0.498 0.709
0.091 0.750 0.345
0.708 0.750 0.031
0.292 0.250 0.969
0.166 0.250 0.402
0.834 0.750 0.598
0.309 0.750 0.211
0.691 0.250 0.789
```

***

This record from Alexandria via LeMat-Bulk describes a relaxed Rb4CoI7 crystal. The functional is GGA-PBE.

Summary:
Energy relative to the elements, uncorrected   -0.858 eV/atom
Magnetization   2.96 Bohr magnetons per cell

```
Rb4CoI7
1.0
-5.021 -1.977 1.409
0.692 -1.552 11.322
-5.258 8.036 3.574
Rb Co I
4 1 7
Direct
0.589 0.245 0.577
0.411 0.755 0.423
0.714 0.670 0.902
0.286 0.330 0.098
0.000 0.000 0.000
0.760 0.891 0.589
0.240 0.109 0.411
0.044 0.786 0.127
0.956 0.214 0.873
0.362 0.524 0.752
0.500 0.000 0.000
0.638 0.476 0.248
```

***

This record from Alexandria via LeMat-Bulk describes a relaxed Nd2TiS5 crystal. The functional is GGA-PBE.

Summary:
Energy relative to the elements, uncorrected   -1.752 eV/atom
Magnetization   0.00 Bohr magnetons per cell

```
Nd2TiS5
1.0
-3.178 -5.832 2.917
-0.843 -3.192 -7.299
10.040 -4.964 1.012
Nd Ti S
8 4 20
Direct
0.435 0.500 0.829
0.565 0.500 0.171
0.935 0.500 0.671
0.565 0.000 0.171
0.065 0.500 0.329
0.435 0.000 0.829
0.065 0.000 0.329
0.935 0.000 0.671
0.424 0.250 0.510
0.576 0.750 0.490
0.924 0.750 0.990
0.076 0.250 0.010
0.064 0.250 0.508
0.936 0.750 0.492
0.564 0.750 0.992
0.436 0.250 0.008
0.324 0.968 0.567
0.676 0.032 0.433
0.824 0.032 0.933
0.676 0.468 0.433
0.176 0.968 0.067
0.324 0.532 0.567
0.176 0.532 0.067
0.824 0.468 0.933
0.148 0.250 0.797
0.852 0.750 0.203
0.648 0.750 0.703
0.352 0.250 0.297
0.633 0.250 0.690
0.367 0.750 0.310
0.133 0.750 0.810
0.867 0.250 0.190
```

***

This record from Alexandria via LeMat-Bulk describes a relaxed Ac2La3Y2 crystal. The functional is GGA-PBE.

Summary:
Magnetization   0.00 Bohr magnetons per cell
Formation enthalpy at 0 K   3 kJ per mole of atoms

```
Ac2La3Y2
1.0
-1.953 2.531 2.038
-1.386 -4.282 11.031
4.316 3.592 3.195
Ac La Y
2 3 2
Direct
0.135 0.149 0.432
0.865 0.851 0.568
0.000 0.000 0.000
0.423 0.433 0.284
0.577 0.567 0.716
0.280 0.290 0.863
0.720 0.710 0.137
```

***

This record from Alexandria via LeMat-Bulk describes a relaxed LiZnRu2 crystal. The functional is GGA-PBE.

Summary:
Magnetization   0.00 Bohr magnetons per cell
Formation enthalpy at 0 K   -1 kJ per mole of atoms

```
LiZnRu2
1.0
-0.832 -1.761 -2.085
1.147 -2.204 1.403
-5.745 -0.997 3.134
Li Ru Zn
1 2 1
Direct
0.500 0.500 0.746
0.000 0.000 0.001
0.500 0.500 0.241
0.000 0.000 0.513
```

***

This record from Alexandria via LeMat-Bulk describes a relaxed Rb2ThNbO6 crystal. The functional is GGA-PBE.

Summary:
Energy relative to the elements, uncorrected   -2.500 eV/atom
Magnetization   0.88 Bohr magnetons per cell

```
Rb2ThNbO6
1.0
-2.348 -1.581 3.572
5.217 -1.766 2.647
0.466 5.452 2.720
Rb Th Nb O
2 1 1 6
Direct
0.129 0.500 0.000
0.129 0.000 0.500
0.648 0.500 0.500
0.584 0.000 0.000
0.656 0.230 0.230
0.656 0.230 0.770
0.149 0.500 0.500
0.183 0.000 0.000
0.656 0.770 0.770
0.656 0.770 0.230
```

***

This record from Alexandria via LeMat-Bulk describes a relaxed HgAsIr2 crystal. The functional is GGA-PBE.

Summary:
Magnetization   0.00 Bohr magnetons per cell
Formation enthalpy at 0 K   28 kJ per mole of atoms

```
HgAsIr2
1.0
5.186 -0.049 0.940
4.405 2.736 0.940
2.332 0.653 5.621
As Ir Hg
1 2 1
Direct
0.451 0.451 0.555
0.033 0.033 0.808
0.726 0.726 0.875
0.290 0.290 0.261
```

***

This record from Alexandria via LeMat-Bulk describes a relaxed Sr2TaAl crystal. The functional is GGA-PBE.

Summary:
Magnetization   0.00 Bohr magnetons per cell
Formation enthalpy at 0 K   72 kJ per mole of atoms

```
Sr2TaAl
1.0
-2.489 -5.640 -0.495
2.139 1.783 5.522
-2.891 1.212 0.729
Sr Al Ta
2 1 1
Direct
0.000 0.000 0.000
0.500 0.500 0.000
0.000 0.500 0.500
0.500 0.000 0.500
```

***

This record from Alexandria via LeMat-Bulk describes a relaxed KNa2Bi crystal. The functional is GGA-PBE.

Summary:
Magnetization   0.00 Bohr magnetons per cell
Formation enthalpy at 0 K   10 kJ per mole of atoms

```
KNa2Bi
1.0
3.741 0.000 0.000
1.870 3.239 0.000
1.870 1.080 13.430
Na K Bi
2 1 1
Direct
0.077 0.077 0.770
0.923 0.923 0.230
0.500 0.500 0.500
0.000 0.000 0.000
```

***

This record from Alexandria via LeMat-Bulk describes a relaxed BaNa2TcF8 crystal. The functional is GGA-PBE.

Summary:
Energy relative to the elements, uncorrected   -2.777 eV/atom
Magnetization   3.00 Bohr magnetons per cell

```
BaNa2TcF8
1.0
4.566 -0.044 -0.001
-0.004 5.556 -0.004
0.004 0.010 7.692
Ba Na Tc F
1 2 1 8
Direct
0.000 0.000 0.500
0.500 0.500 0.749
0.500 0.500 0.251
0.000 0.000 0.000
0.144 0.791 0.190
0.667 0.774 0.000
0.856 0.209 0.190
0.856 0.209 0.810
0.333 0.226 0.000
0.144 0.791 0.810
0.529 0.741 0.500
0.471 0.259 0.500
```

***

This record from Alexandria via LeMat-Bulk describes a relaxed CeCd4Au4 crystal. The functional is GGA-PBE.

Summary:
Magnetization   1.89 Bohr magnetons per cell
Formation enthalpy at 0 K   -25 kJ per mole of atoms

```
CeCd4Au4
1.0
4.549 0.000 0.000
0.000 9.605 0.000
0.000 0.000 9.605
Ce Cd Au
2 8 8
Direct
0.000 0.000 0.000
0.500 0.500 0.500
0.499 0.389 0.877
0.999 0.623 0.889
0.499 0.611 0.123
0.001 0.111 0.623
0.501 0.877 0.611
0.001 0.889 0.377
0.999 0.377 0.111
0.501 0.123 0.389
0.501 0.897 0.195
0.501 0.103 0.805
0.001 0.695 0.603
0.999 0.397 0.695
0.999 0.603 0.305
0.499 0.195 0.103
0.499 0.805 0.897
0.001 0.305 0.397
```

***

This record from Alexandria via LeMat-Bulk describes a relaxed Li2MgRu crystal. The functional is GGA-PBE.

Summary:
Magnetization   0.00 Bohr magnetons per cell
Formation enthalpy at 0 K   17 kJ per mole of atoms

```
Li2MgRu
1.0
-2.335 3.982 1.094
-4.630 -1.009 0.221
3.741 -2.078 2.048
Li Mg Ru
2 1 1
Direct
0.000 0.000 0.000
0.250 0.750 0.500
0.500 0.500 0.000
0.750 0.250 0.500
```

***

This record from Alexandria via LeMat-Bulk describes a relaxed MnNi3Se crystal. The functional is GGA-PBE.

Summary:
Energy relative to the elements, uncorrected   0.430 eV/atom
Magnetization   4.88 Bohr magnetons per cell

```
MnNi3Se
1.0
-1.078 -0.688 -4.127
-3.153 -2.668 1.269
-2.751 3.328 0.163
Ni Mn Se
3 1 1
Direct
0.000 0.500 0.000
0.000 0.000 0.500
0.500 0.000 0.000
0.500 0.500 0.500
0.000 0.000 0.000
```

***

This record from Alexandria via LeMat-Bulk describes a relaxed HoPuGa6 crystal. The functional is GGA-PBE.

Summary:
Magnetization   5.41 Bohr magnetons per cell
Formation enthalpy at 0 K   -44 kJ per mole of atoms

```
HoPuGa6
1.0
4.648 0.000 0.000
0.000 6.192 -0.200
0.000 -2.921 5.463
Ho Pu Ga
1 1 6
Direct
0.000 0.083 0.917
0.500 0.417 0.583
0.000 0.052 0.401
0.000 0.599 0.948
0.000 0.599 0.401
0.500 0.447 0.099
0.500 0.901 0.553
0.500 0.902 0.098
```

***

This record from Alexandria via LeMat-Bulk describes a relaxed LaTlSn crystal. The functional is GGA-PBE.

Summary:
Magnetization   0.00 Bohr magnetons per cell
Formation enthalpy at 0 K   17 kJ per mole of atoms

```
LaTlSn
1.0
3.290 0.000 0.000
0.000 3.290 0.000
-1.645 -1.645 9.130
Tl Sn La
1 1 1
Direct
0.132 0.132 0.263
0.769 0.769 0.539
0.949 0.949 0.898
```

***

This record from Alexandria via LeMat-Bulk describes a relaxed CaLa2Al crystal. The functional is GGA-PBE.

Summary:
Magnetization   0.00 Bohr magnetons per cell
Formation enthalpy at 0 K   -9 kJ per mole of atoms

```
CaLa2Al
1.0
6.741 -0.003 0.002
3.262 5.900 -0.002
-4.431 -3.916 3.237
Ca Al La
1 1 2
Direct
0.286 0.786 0.500
0.495 0.495 0.000
0.001 0.001 0.000
0.717 0.217 0.500
```

***

This record from Alexandria via LeMat-Bulk describes a relaxed Li3Ho2BiSe6 crystal. The functional is GGA-PBE.

Summary:
Energy relative to the elements, uncorrected   -1.369 eV/atom
Magnetization   0.00 Bohr magnetons per cell

```
Li3Ho2BiSe6
1.0
7.084 -0.002 -0.001
-3.542 6.135 -0.001
-1.183 -2.048 6.526
Li Ho Bi Se
3 2 1 6
Direct
0.160 0.840 0.500
0.840 0.160 0.500
0.500 0.500 0.500
0.333 0.667 0.000
0.667 0.333 0.000
0.000 0.000 0.000
0.914 0.573 0.744
0.744 0.744 0.256
0.086 0.427 0.256
0.573 0.914 0.744
0.256 0.256 0.744
0.427 0.086 0.256
```

***

This record from Alexandria via LeMat-Bulk describes a relaxed RbOs2RuPt crystal. The functional is GGA-PBE.

Summary:
Magnetization   3.24 Bohr magnetons per cell
Formation enthalpy at 0 K   366 kJ per mole of atoms

```
RbOs2RuPt
1.0
-3.664 1.752 2.358
-1.142 -4.228 1.367
2.695 0.505 3.813
Ru Os Rb Pt
1 2 1 1
Direct
0.000 0.500 0.000
0.000 0.000 0.500
0.500 0.000 0.000
0.000 0.000 0.000
0.500 0.500 0.500
```

***

This record from Alexandria via LeMat-Bulk describes a relaxed AgHgPt2 crystal. The functional is GGA-PBE.

Summary:
Magnetization   0.00 Bohr magnetons per cell
Formation enthalpy at 0 K   5 kJ per mole of atoms

```
AgHgPt2
1.0
-0.714 -1.112 2.622
2.574 -1.408 0.103
3.340 6.371 3.611
Ag Hg Pt
1 1 2
Direct
0.500 0.500 0.250
0.500 0.500 0.750
0.000 0.000 0.004
0.000 0.000 0.496
```

***

This record from Alexandria via LeMat-Bulk describes a relaxed Ac2AlGaRh6 crystal. The functional is GGA-PBE.

Summary:
Magnetization   0.00 Bohr magnetons per cell
Formation enthalpy at 0 K   -38 kJ per mole of atoms

```
Ac2AlGaRh6
1.0
-2.539 3.647 4.848
-5.732 0.282 -3.214
-5.544 -1.903 2.989
Ac Al Ga Rh
2 1 1 6
Direct
0.250 0.750 0.500
0.750 0.250 0.500
0.500 0.500 0.000
0.000 0.000 0.000
0.253 0.747 0.000
0.747 0.747 0.000
0.253 0.253 0.495
0.747 0.253 0.000
0.253 0.253 0.000
0.747 0.747 0.505
```